Entry 1:
## ZnBi2AsAu (PBE-GGA)

Data for crystalline ZnBi2AsAu at its relaxed geometry.

Final energy in eV per atom: -2.83
Calculated volume in Å³ per cell: 156
Formation energy in eV per atom: 0.5615

a = 5.714 Å, b = 5.714 Å, c = 4.768 Å
α = 90.00°, β = 90.00°, γ = 90.00°
Sites, in units of the cell vectors:
Zn 0.000 0.000 0.000
Bi 0.000 0.500 0.500
Bi 0.500 0.000 0.500
As 0.500 0.500 0.500
Au 0.500 0.500 0.000


Entry 2:
## Tl14Sn2Te9 (PBE-GGA)

Data for crystalline Tl14Sn2Te9 at its relaxed geometry.

Final energy in eV per atom: -3.02
Uncorrected formation energy in eV/f.u.: -6.17
Calculated volume in Å³ per cell: 1059

a = 8.919 Å, b = 8.919 Å, c = 15.375 Å
α = 90.00°, β = 90.00°, γ = 120.00°
Sites, in units of the cell vectors:
Tl 0.000 0.000 0.240
Tl 0.000 0.000 0.760
Tl 0.033 0.360 0.098
Tl 0.115 0.427 0.578
Tl 0.312 0.885 0.578
Tl 0.326 0.967 0.098
Tl 0.360 0.326 0.902
Tl 0.427 0.312 0.422
Tl 0.573 0.688 0.578
Tl 0.640 0.674 0.098
Tl 0.674 0.033 0.902
Tl 0.688 0.115 0.422
Tl 0.885 0.573 0.422
Tl 0.967 0.640 0.902
Sn 0.333 0.667 0.268
Sn 0.667 0.333 0.732
Te 0.000 0.000 0.000
Te 0.100 0.347 0.362
Te 0.247 0.900 0.362
Te 0.333 0.667 0.969
Te 0.347 0.247 0.638
Te 0.653 0.753 0.362
Te 0.667 0.333 0.031
Te 0.753 0.100 0.638
Te 0.900 0.653 0.638


Entry 3:
## BeSnAu2 (PBE-GGA)

Data for crystalline BeSnAu2 at its relaxed geometry.

Final energy in eV per atom: -3.36
Calculated volume in Å³ per cell: 72
Formation energy in eV per atom: 0.2158
Offset from the most stable computed form in meV per atom: 259.6

a = 4.674 Å, b = 4.674 Å, c = 4.674 Å
α = 60.00°, β = 60.00°, γ = 60.00°
Sites, in units of the cell vectors:
Be 0.000 0.000 0.000
Sn 0.500 0.500 0.500
Au 0.250 0.250 0.250
Au 0.750 0.750 0.750


Entry 4:
## Tc2Pb (PBE-GGA)

Data for crystalline Tc2Pb at its relaxed geometry.

Final energy in eV per atom: -7.07
Calculated volume in Å³ per cell: 168
Formation energy in eV per atom: 1.0734
Offset from the most stable computed form in meV per atom: 710.3

a = 6.652 Å, b = 6.652 Å, c = 4.391 Å
α = 90.00°, β = 90.00°, γ = 120.00°
Sites, in units of the cell vectors:
Tc 0.000 0.229 0.000
Tc 0.000 0.536 0.500
Tc 0.229 0.000 0.000
Tc 0.464 0.464 0.500
Tc 0.536 0.000 0.500
Tc 0.771 0.771 0.000
Pb 0.000 0.000 0.500
Pb 0.333 0.667 0.000
Pb 0.667 0.333 0.000


Entry 5:
## PuZn2AgAu2 (PBE-GGA)

Data for crystalline PuZn2AgAu2 at its relaxed geometry.

Final energy in eV per atom: -4.65
Calculated volume in Å³ per cell: 119
Formation energy in eV per atom: -0.2700

a = 4.537 Å, b = 4.537 Å, c = 6.660 Å
α = 90.00°, β = 90.00°, γ = 120.00°
Sites, in units of the cell vectors:
Pu 0.000 0.000 0.000
Zn 0.333 0.667 0.691
Zn 0.667 0.333 0.309
Ag 0.000 0.000 0.500
Au 0.333 0.667 0.266
Au 0.667 0.333 0.734


Entry 6:
## PmZn11Ni (PBE-GGA)

Data for crystalline PmZn11Ni at its relaxed geometry.

Final energy in eV per atom: -2.11
Calculated volume in Å³ per cell: 203
Formation energy in eV per atom: -0.2186

a = 6.856 Å, b = 6.856 Å, c = 6.806 Å
α = 97.44°, β = 97.44°, γ = 137.25°
Sites, in units of the cell vectors:
Pm 0.000 0.000 0.000
Zn 0.000 0.000 0.500
Zn 0.000 0.500 0.000
Zn 0.020 0.365 0.361
Zn 0.288 0.503 0.776
Zn 0.365 0.020 0.361
Zn 0.497 0.712 0.224
Zn 0.500 0.000 0.000
Zn 0.503 0.288 0.776
Zn 0.635 0.980 0.639
Zn 0.712 0.497 0.224
Zn 0.980 0.635 0.639
Ni 0.500 0.500 0.500


Entry 7:
## SmYV4 (PBE-GGA)

Data for crystalline SmYV4 at its relaxed geometry.

Final energy in eV per atom: -7.55
Calculated volume in Å³ per cell: 112
Formation energy in eV per atom: 0.3943

a = 5.409 Å, b = 5.409 Å, c = 5.409 Å
α = 60.00°, β = 60.00°, γ = 60.00°
Sites, in units of the cell vectors:
Sm 0.000 0.000 0.000
Y 0.750 0.750 0.750
V 0.380 0.380 0.380
V 0.380 0.380 0.861
V 0.380 0.861 0.380
V 0.861 0.380 0.380


Entry 8:
## MgNiGe (PBE-GGA)

Data for crystalline MgNiGe at its relaxed geometry.

Final energy in eV per atom: -4.34
Calculated volume in Å³ per cell: 96
Formation energy in eV per atom: -0.3419

a = 6.674 Å, b = 6.671 Å, c = 3.990 Å
α = 72.63°, β = 72.58°, γ = 34.79°
Sites, in units of the cell vectors:
Mg 0.152 0.152 0.848
Mg 0.848 0.848 0.152
Ni 0.000 0.000 0.500
Ni 0.500 0.500 0.000
Ge 0.381 0.381 0.619
Ge 0.619 0.619 0.381